Entry 1:
# CsSmMn2Se4

A geometry-optimized CsSmMn2Se4 structure (PBE-GGA, the Alexandria database).

**Space-group type**: I222 (23)
**Volume**: 285.7 Å³ per cell

Geometry as extended XYZ:
```
8
Lattice="-3.4774 4.3626 4.7084 3.4774 -4.3626 4.7084 3.4774 4.3626 -4.7084" Properties=species:S:1:pos:R:3 pbc="T T T"
Cs 0.0000 0.0000 0.0000
Sm 0.0000 0.0000 4.7084
Mn 3.4774 0.0000 3.7381
Mn 0.0000 4.3626 0.9703
Se 1.6882 2.9364 -1.6567
Se 1.7892 1.4262 3.0517
Se 1.7892 -1.4262 6.3651
Se 1.6882 5.7887 1.6567
```


Entry 2:
# Cs3Sm3MnSe8

A geometry-optimized Cs3Sm3MnSe8 structure (PBE-GGA, the Alexandria database).

**Space-group type**: R-3m (166)
**Volume**: 521.2 Å³ per cell

Geometry as extended XYZ:
```
15
Lattice="4.1935 2.4211 8.5561 -4.1935 2.4211 8.5561 0.0000 -4.8422 8.5561" Properties=species:S:1:pos:R:3 pbc="T T T"
Cs -2.0967 -1.2105 8.5561
Cs -2.0967 1.2105 17.1121
Cs 0.0000 2.4211 8.5561
Sm -4.1935 0.0000 12.8341
Sm -2.0967 1.2105 4.2780
Sm 2.0967 1.2105 4.2780
Mn 0.0000 0.0000 12.8341
Se 0.0000 0.0000 5.9085
Se -1.8657 -1.0772 14.3078
Se 0.0000 -2.1544 11.3603
Se -1.8657 1.0772 11.3603
Se 1.8657 -1.0772 14.3078
Se 0.0000 2.1544 14.3078
Se 1.8657 1.0772 11.3604
Se 0.0000 0.0000 19.7596
```


Entry 3:
# Cs4Sm3MnSe8

A geometry-optimized Cs4Sm3MnSe8 structure (PBE-GGA, the Alexandria database).

**Space-group type**: R-3m (166)
**N(E_F)**: 4.0 states/eV/f.u.
**Volume**: 528.3 Å³ per cell

Geometry as extended XYZ:
```
16
Lattice="4.2715 2.4661 8.3581 -4.2715 2.4661 8.3581 0.0000 -4.9323 8.3581" Properties=species:S:1:pos:R:3 pbc="T T T"
Cs 0.0000 0.0000 0.0000
Cs -2.1357 -1.2331 8.3581
Cs -2.1357 1.2331 16.7161
Cs 0.0000 2.4661 8.3581
Sm -4.2715 0.0000 12.5371
Sm -2.1357 1.2331 4.1790
Sm 2.1357 1.2331 4.1790
Mn 0.0000 0.0000 12.5371
Se 0.0000 0.0000 5.7813
Se -2.0011 -1.1553 14.0432
Se 0.0000 -2.3106 11.0310
Se -2.0011 1.1553 11.0310
Se 2.0011 -1.1553 14.0432
Se 0.0000 2.3106 14.0432
Se 2.0011 1.1553 11.0310
Se 0.0000 0.0000 19.2929
```


Entry 4:
# CsMnSn2Se6

A geometry-optimized CsMnSn2Se6 structure (PBE-GGA, the Alexandria database).

**Space-group type**: C2/c (15)
**N(E_F)**: 3.8 states/eV/f.u.
**Volume**: 667.8 Å³ per cell

Geometry as extended XYZ:
```
20
Lattice="7.1283 -7.1007 0.0000 7.1283 7.1007 0.0000 -2.1281 0.0000 6.5968" Properties=species:S:1:pos:R:3 pbc="T T T"
Cs 5.5323 5.4405 4.9476
Cs 6.5963 -5.4405 1.6492
Mn 6.5963 3.3391 1.6492
Mn 5.5323 -3.3391 4.9476
Sn 2.3852 1.1621 5.2627
Sn 3.4492 -1.1621 1.9643
Sn 8.6793 1.1621 4.6325
Sn 9.7434 -1.1621 1.3341
Se 5.0918 5.2375 1.1114
Se 3.0728 1.3265 2.7223
Se 8.1008 5.2375 2.1870
Se 4.6107 1.8997 6.3624
Se 2.0088 -1.3265 6.0207
Se 6.4539 1.8997 3.5328
Se 5.6747 -1.8997 3.0640
Se 10.1198 1.3265 0.5761
Se 7.5179 -1.8997 0.2344
Se 4.0278 -5.2375 4.4098
Se 9.0557 -1.3265 3.8745
Se 7.0368 -5.2375 5.4854
```


Number 1: E_form (uncorrected) -60 kJ per mole of atoms, ρ 4.1 g/cm3. Number 2: E_form (uncorrected) -135 kJ per mole of atoms, ρ 4.9 g/cm3. Number 3: E_form (uncorrected) -137 kJ per mole of atoms, ρ 5.2 g/cm3. Number 4: E_form (uncorrected) -40 kJ per mole of atoms, ρ 4.5 g/cm3.